Below is a relaxed KTl5Pb2 crystal, with properties calculated at the PBE level.

Unit cell a=8.5398 b=8.5398 c=8.7334 alpha=113.61 beta=113.61 gamma=76.48
Last column: nearest neighbours and their distance in Å.
Element x y z (fractional)
K: 0.2047 0.7953 0.0000  10 Tl 3.64-3.95, 2 Pb 3.81
K: 0.7953 0.2047 0.0000  10 Tl 3.64-3.95, 2 Pb 3.81
Tl: 0.0000 0.5000 0.5000  6 Tl 3.36-3.60, 4 Pb 3.37-3.45
Tl: 0.0565 0.3586 0.8277  3 Tl 3.19-3.36, 2 Pb 3.35-3.57
Tl: 0.2664 0.2664 0.2330  3 Pb 3.35-3.60, 4 Tl 3.59-3.60
Tl: 0.3586 0.0565 0.8277  3 Tl 3.19-3.36, 2 Pb 3.35-3.57
Tl: 0.4173 0.4173 0.7502  5 Tl 3.43-3.75, 2 Pb 3.45, 2 K 3.64
Tl: 0.5000 0.0000 0.5000  6 Tl 3.36-3.60, 4 Pb 3.37-3.45
Tl: 0.5827 0.5827 0.2498  5 Tl 3.43-3.75, 2 Pb 3.45, 2 K 3.64
Tl: 0.6414 0.9435 0.1723  3 Tl 3.19-3.36, 2 Pb 3.35-3.57
Tl: 0.7336 0.7336 0.7670  3 Pb 3.35-3.60, 4 Tl 3.59-3.60
Tl: 0.9435 0.6414 0.1723  3 Tl 3.19-3.36, 2 Pb 3.35-3.57
Pb: 0.0711 0.0711 0.4021  1 Pb 3.15, 2 Tl 3.37
Pb: 0.3258 0.6742 0.5000  8 Tl 3.35-3.45, 1 Pb 3.68
Pb: 0.6742 0.3258 0.5000  8 Tl 3.35-3.45, 1 Pb 3.68
Pb: 0.9289 0.9289 0.5979  1 Pb 3.15, 2 Tl 3.37

For the total magnetic moment, the calculation gives 0.000 μB per formula unit. The relative energy among the computed polymorphs comes out at 0.00 kcal/mol of atoms. The formation energy from the elements comes out at -0.03 eV/atom.



Below is a relaxed KTlPb crystal, with properties calculated at the PBE level.

Unit cell a=4.3192 b=7.0431 c=14.6202 alpha=90.00 beta=90.00 gamma=90.00
Last column: nearest neighbours and their distance in Å.
Element x y z (fractional)
K: 0.0000 0.0000 0.1825  4 Tl 3.63-3.65, 4 Pb 3.85
K: 0.0000 0.0000 0.8175  4 Tl 3.63-3.65, 4 Pb 3.85
K: 0.5000 0.5000 0.3175  4 Tl 3.63-3.65, 4 Pb 3.85
K: 0.5000 0.5000 0.6825  4 Tl 3.63-3.65, 4 Pb 3.85
Tl: 0.0000 0.5000 0.1175  4 Pb 3.28, 1 Tl 3.44, 4 K 3.63-3.65
Tl: 0.0000 0.5000 0.8825  4 Pb 3.28, 1 Tl 3.44, 4 K 3.63-3.65
Tl: 0.5000 0.0000 0.3825  4 Pb 3.28, 1 Tl 3.44, 4 K 3.63-3.65
Tl: 0.5000 0.0000 0.6175  4 Pb 3.28, 1 Tl 3.44, 4 K 3.63-3.65
Pb: 0.0000 0.2520 0.5000  4 Tl 3.28, 2 Pb 3.49-3.55
Pb: 0.0000 0.7480 0.5000  4 Tl 3.28, 2 Pb 3.49-3.55
Pb: 0.5000 0.2480 0.0000  4 Tl 3.28, 2 Pb 3.49-3.55
Pb: 0.5000 0.7520 0.0000  4 Tl 3.28, 2 Pb 3.49-3.55

For the total magnetic moment, the calculation gives 0.000 μB per formula unit. The relative energy among the computed polymorphs comes out at 1.02 kcal/mol of atoms. The formation energy from the elements comes out at -0.12 eV/atom.



Below is a relaxed KTl2Pb5 crystal, with properties calculated at the PBE level.

Unit cell a=13.5982 b=11.0677 c=3.5953 alpha=90.00 beta=104.99 gamma=90.00
Last column: nearest neighbours and their distance in Å.
Element x y z (fractional)
K: 0.0000 0.0000 0.0000  2 K 3.60, 4 Tl 3.62-3.64, 8 Pb 3.99-4.01
K: 0.5000 0.5000 0.0000  2 K 3.60, 4 Tl 3.62-3.64, 8 Pb 3.99-4.01
Tl: 0.2400 0.0000 0.7391  7 Pb 3.41-3.44, 2 Tl 3.60, 2 K 3.62-3.64
Tl: 0.2600 0.5000 0.2609  7 Pb 3.41-3.44, 2 Tl 3.60, 2 K 3.62-3.64
Tl: 0.7400 0.5000 0.7391  7 Pb 3.41-3.44, 2 Tl 3.60, 2 K 3.62-3.64
Tl: 0.7600 0.0000 0.2609  7 Pb 3.41-3.44, 2 Tl 3.60, 2 K 3.62-3.64
Pb: 0.0000 0.5000 0.0000  2 Tl 3.41, 10 Pb 3.47-3.60
Pb: 0.1331 0.2815 0.6362  3 Tl 3.42-3.44, 7 Pb 3.47-3.63
Pb: 0.1331 0.7185 0.6362  3 Tl 3.42-3.44, 7 Pb 3.47-3.63
Pb: 0.3669 0.2185 0.3638  3 Tl 3.42-3.44, 7 Pb 3.47-3.63
Pb: 0.3669 0.7815 0.3638  3 Tl 3.42-3.44, 7 Pb 3.47-3.63
Pb: 0.5000 0.0000 0.0000  2 Tl 3.41, 10 Pb 3.47-3.60
Pb: 0.6331 0.2185 0.6362  3 Tl 3.42-3.44, 7 Pb 3.47-3.63
Pb: 0.6331 0.7815 0.6362  3 Tl 3.42-3.44, 7 Pb 3.47-3.63
Pb: 0.8669 0.2815 0.3638  3 Tl 3.42-3.44, 7 Pb 3.47-3.63
Pb: 0.8669 0.7185 0.3638  3 Tl 3.42-3.44, 7 Pb 3.47-3.63

For the total magnetic moment, the calculation gives 0.000 μB per formula unit. The formation energy from the elements comes out at -0.03 eV/atom.



Below is a relaxed KTlPb2 crystal, with properties calculated at the PBE level.

Unit cell a=5.9302 b=12.4783 c=7.7130 alpha=90.00 beta=90.00 gamma=90.00
Last column: nearest neighbours and their distance in Å.
Element x y z (fractional)
K: 0.0000 0.0937 0.2500  3 Tl 3.57-3.99, 6 Pb 3.77-3.87
K: 0.0000 0.9063 0.7500  3 Tl 3.57-3.99, 6 Pb 3.77-3.87
K: 0.5000 0.4063 0.7500  3 Tl 3.57-3.99, 6 Pb 3.77-3.87
K: 0.5000 0.5937 0.2500  3 Tl 3.57-3.99, 6 Pb 3.77-3.87
Tl: 0.0000 0.1922 0.7500  6 Pb 3.27-3.46, 1 K 3.57
Tl: 0.0000 0.8078 0.2500  6 Pb 3.27-3.46, 1 K 3.57
Tl: 0.5000 0.3078 0.2500  6 Pb 3.27-3.46, 1 K 3.57
Tl: 0.5000 0.6922 0.7500  6 Pb 3.27-3.46, 1 K 3.57
Pb: 0.0000 0.3778 0.0491  2 Pb 3.10-3.14, 3 Tl 3.27-3.46
Pb: 0.0000 0.3778 0.4509  2 Pb 3.10-3.14, 3 Tl 3.27-3.46
Pb: 0.0000 0.6222 0.5491  2 Pb 3.10-3.14, 3 Tl 3.27-3.46
Pb: 0.0000 0.6222 0.9509  2 Pb 3.10-3.14, 3 Tl 3.27-3.46
Pb: 0.5000 0.1222 0.5491  2 Pb 3.10-3.14, 3 Tl 3.27-3.46
Pb: 0.5000 0.1222 0.9509  2 Pb 3.10-3.14, 3 Tl 3.27-3.46
Pb: 0.5000 0.8778 0.0491  2 Pb 3.10-3.14, 3 Tl 3.27-3.46
Pb: 0.5000 0.8778 0.4509  2 Pb 3.10-3.14, 3 Tl 3.27-3.46

For the total magnetic moment, the calculation gives 0.000 μB per formula unit. The relative energy among the computed polymorphs comes out at 0.41 kcal/mol of atoms. The formation energy from the elements comes out at -0.08 eV/atom.



Below is a relaxed K2Tl6Pb crystal, with properties calculated at the PBE level.

Unit cell a=9.7222 b=9.7222 c=3.6099 alpha=90.00 beta=90.00 gamma=120.00
Last column: nearest neighbours and their distance in Å.
Element x y z (fractional)
K: 0.3333 0.6667 0.0000  2 K 3.61, 12 Tl 3.76
K: 0.6667 0.3333 0.0000  2 K 3.61, 12 Tl 3.76
Tl: 0.0000 0.3214 0.5000  3 Tl 3.12-3.47
Tl: 0.0000 0.6786 0.5000  3 Tl 3.12-3.47
Tl: 0.3214 0.0000 0.5000  3 Tl 3.12-3.47
Tl: 0.3214 0.3214 0.5000  3 Tl 3.12-3.47
Tl: 0.6786 0.0000 0.5000  3 Tl 3.12-3.47
Tl: 0.6786 0.6786 0.5000  3 Tl 3.12-3.47
Pb: 0.0000 0.0000 0.0000  12 Tl 3.61, 2 Pb 3.61

For the total magnetic moment, the calculation gives 0.000 μB per formula unit. The relative energy among the computed polymorphs comes out at 0.32 kcal/mol of atoms. The formation energy from the elements comes out at -0.06 eV/atom.



Below is a relaxed K2Tl2Pb crystal, with properties calculated at the PBE level.

Unit cell a=4.8430 b=4.8430 c=15.9356 alpha=90.00 beta=90.00 gamma=90.00
Last column: nearest neighbours and their distance in Å.
Element x y z (fractional)
K: 0.0000 0.5000 0.2500  4 K 3.42, 4 Tl 3.50
K: 0.0000 0.5000 0.7500  4 K 3.42, 4 Tl 3.50
K: 0.5000 0.0000 0.2500  4 K 3.42, 4 Tl 3.50
K: 0.5000 0.0000 0.7500  4 K 3.42, 4 Tl 3.50
Tl: 0.0000 0.0000 0.0915  1 Tl 2.92
Tl: 0.0000 0.0000 0.9085  1 Tl 2.92
Tl: 0.5000 0.5000 0.4085  1 Tl 2.92
Tl: 0.5000 0.5000 0.5915  1 Tl 2.92
Pb: 0.0000 0.0000 0.5000  8 Tl 3.72
Pb: 0.5000 0.5000 0.0000  8 Tl 3.72

For the total magnetic moment, the calculation gives 0.000 μB per formula unit. The relative energy among the computed polymorphs comes out at 5.87 kcal/mol of atoms. The formation energy from the elements comes out at 0.13 eV/atom.



Below is a relaxed K2Tl15Pb2 crystal, with properties calculated at the PBE level.

Unit cell a=8.6892 b=8.6892 c=8.6892 alpha=82.54 beta=82.54 gamma=82.54
Last column: nearest neighbours and their distance in Å.
Element x y z (fractional)
K: 0.1641 0.1641 0.1641  1 Pb 4.03, 18 Tl 4.06-4.50
K: 0.8359 0.8359 0.8359  1 Pb 4.03, 18 Tl 4.06-4.50
Tl: 0.0000 0.5000 0.5000  8 Tl 3.31-3.36, 2 Pb 3.51
Tl: 0.1438 0.1438 0.6526  8 Tl 3.32-3.60, 1 Pb 3.69
Tl: 0.1438 0.6526 0.1438  8 Tl 3.32-3.60, 1 Pb 3.69
Tl: 0.2052 0.5000 0.7948  8 Tl 3.31-3.60
Tl: 0.2052 0.7948 0.5000  8 Tl 3.31-3.60
Tl: 0.3474 0.8562 0.8562  8 Tl 3.32-3.60, 1 Pb 3.69
Tl: 0.5000 0.0000 0.5000  8 Tl 3.31-3.36, 2 Pb 3.51
Tl: 0.5000 0.2052 0.7948  8 Tl 3.31-3.60
Tl: 0.5000 0.5000 0.0000  8 Tl 3.31-3.36, 2 Pb 3.51
Tl: 0.5000 0.7948 0.2052  8 Tl 3.31-3.60
Tl: 0.6526 0.1438 0.1438  8 Tl 3.32-3.60, 1 Pb 3.69
Tl: 0.7948 0.2052 0.5000  8 Tl 3.31-3.60
Tl: 0.7948 0.5000 0.2052  8 Tl 3.31-3.60
Tl: 0.8562 0.3474 0.8562  8 Tl 3.32-3.60, 1 Pb 3.69
Tl: 0.8562 0.8562 0.3474  8 Tl 3.32-3.60, 1 Pb 3.69
Pb: 0.4028 0.4028 0.4028  1 Pb 3.28, 3 Tl 3.51
Pb: 0.5972 0.5972 0.5972  1 Pb 3.28, 3 Tl 3.51

For the total magnetic moment, the calculation gives 0.000 μB per formula unit. The formation energy from the elements comes out at -0.02 eV/atom.



Below is a relaxed K2TlPb crystal, with properties calculated at the PBE level.

Unit cell a=3.7584 b=3.7584 c=36.5749 alpha=90.00 beta=90.00 gamma=120.00
Last column: nearest neighbours and their distance in Å.
Element x y z (fractional)
K: 0.0000 0.0000 0.2503  3 Pb 3.73, 3 Tl 3.75, 6 K 3.76
K: 0.0000 0.0000 0.7497  3 Pb 3.73, 3 Tl 3.75, 6 K 3.76
K: 0.3333 0.6667 0.4164  3 Pb 3.73, 3 Tl 3.75, 6 K 3.76
K: 0.3333 0.6667 0.9170  3 Pb 3.73, 3 Tl 3.75, 6 K 3.76
K: 0.6667 0.3333 0.0830  3 Pb 3.73, 3 Tl 3.75, 6 K 3.76
K: 0.6667 0.3333 0.5836  3 Pb 3.73, 3 Tl 3.75, 6 K 3.76
Tl: 0.0000 0.0000 0.5000  6 K 3.75, 6 Tl 3.76
Tl: 0.3333 0.6667 0.1667  6 K 3.75, 6 Tl 3.76
Tl: 0.6667 0.3333 0.8333  6 K 3.75, 6 Tl 3.76
Pb: 0.0000 0.0000 0.0000  6 K 3.73, 6 Pb 3.76
Pb: 0.3333 0.6667 0.6667  6 K 3.73, 6 Pb 3.76
Pb: 0.6667 0.3333 0.3333  6 K 3.73, 6 Pb 3.76

For the total magnetic moment, the calculation gives 0.307 μB per formula unit. The relative energy among the computed polymorphs comes out at 3.80 kcal/mol of atoms. The formation energy from the elements comes out at 0.04 eV/atom.



Below is a relaxed K6TlPb2 crystal, with properties calculated at the PBE level.

Unit cell a=12.1914 b=12.1914 c=12.1914 alpha=30.39 beta=30.39 gamma=30.39
Last column: nearest neighbours and their distance in Å.
Element x y z (fractional)
K: 0.0758 0.0758 0.0758  3 Pb 3.70, 3 K 4.12
K: 0.1997 0.1997 0.1997  4 K 3.84-4.20, 3 Tl 3.87, 3 Pb 4.11
K: 0.3098 0.3098 0.3098  1 Pb 3.67, 4 K 3.84-4.04
K: 0.6902 0.6902 0.6902  1 Pb 3.67, 4 K 3.84-4.04
K: 0.8003 0.8003 0.8003  4 K 3.84-4.20, 3 Tl 3.87, 3 Pb 4.11
K: 0.9242 0.9242 0.9242  3 Pb 3.70, 3 K 4.12
Tl: 0.5000 0.5000 0.5000  2 Pb 2.96
Pb: 0.4151 0.4151 0.4151  1 Tl 2.96
Pb: 0.5849 0.5849 0.5849  1 Tl 2.96

For the total magnetic moment, the calculation gives 0.000 μB per formula unit. The formation energy from the elements comes out at -0.12 eV/atom.



Below is a relaxed KTl8Pb4 crystal, with properties calculated at the PBE level.

Unit cell a=8.7355 b=8.7355 c=8.7355 alpha=98.34 beta=98.34 gamma=135.24
Last column: nearest neighbours and their distance in Å.
Element x y z (fractional)
K: 0.0000 0.0000 0.0000  12 Tl 4.05-4.11, 8 Pb 4.37
Tl: 0.0000 0.3547 0.3547  5 Tl 3.32-3.71, 4 Pb 3.51
Tl: 0.0000 0.6453 0.6453  5 Tl 3.32-3.71, 4 Pb 3.51
Tl: 0.2883 0.5000 0.7883  4 Pb 3.33, 6 Tl 3.42-3.71
Tl: 0.3547 0.0000 0.3547  5 Tl 3.32-3.71, 4 Pb 3.51
Tl: 0.5000 0.2883 0.7883  4 Pb 3.33, 6 Tl 3.42-3.71
Tl: 0.5000 0.7117 0.2117  4 Pb 3.33, 6 Tl 3.42-3.71
Tl: 0.6453 0.0000 0.6453  5 Tl 3.32-3.71, 4 Pb 3.51
Tl: 0.7117 0.5000 0.2117  4 Pb 3.33, 6 Tl 3.42-3.71
Pb: 0.0000 0.0000 0.5000  2 Pb 3.33, 8 Tl 3.33-3.51
Pb: 0.0000 0.5000 0.0000  2 Pb 3.33, 8 Tl 3.33-3.51
Pb: 0.5000 0.0000 0.0000  2 Pb 3.33, 8 Tl 3.33-3.51
Pb: 0.5000 0.5000 0.5000  2 Pb 3.33, 8 Tl 3.33-3.51

For the total magnetic moment, the calculation gives 0.000 μB per formula unit. The formation energy from the elements comes out at -0.01 eV/atom.



Below is a relaxed KTl9Pb3 crystal, with properties calculated at the PBE level.

Unit cell a=8.8140 b=8.8140 c=8.6842 alpha=98.09 beta=98.09 gamma=136.11
Last column: nearest neighbours and their distance in Å.
Element x y z (fractional)
K: 0.0000 0.0000 0.0000  14 Tl 4.09-4.35, 6 Pb 4.34-4.41
Tl: 0.0049 0.6477 0.6449  4 Tl 3.30-3.69, 3 Pb 3.49-3.54
Tl: 0.2892 0.5011 0.7890  7 Tl 3.33-3.71, 3 Pb 3.34
Tl: 0.3523 0.9951 0.3551  4 Tl 3.30-3.69, 3 Pb 3.49-3.54
Tl: 0.4989 0.7108 0.2110  7 Tl 3.33-3.71, 3 Pb 3.34
Tl: 0.5000 0.5000 0.5000  2 Pb 3.29, 8 Tl 3.33-3.56
Tl: 0.5011 0.2892 0.7890  7 Tl 3.33-3.71, 3 Pb 3.34
Tl: 0.6477 0.0049 0.6449  4 Tl 3.30-3.69, 3 Pb 3.49-3.54
Tl: 0.7108 0.4989 0.2110  7 Tl 3.33-3.71, 3 Pb 3.34
Tl: 0.9951 0.3523 0.3551  4 Tl 3.30-3.69, 3 Pb 3.49-3.54
Pb: 0.0000 0.0000 0.5000  10 Tl 3.29-3.54
Pb: 0.0000 0.5000 0.0000  2 Pb 3.29, 8 Tl 3.34-3.51
Pb: 0.5000 0.0000 0.0000  2 Pb 3.29, 8 Tl 3.34-3.51

For the total magnetic moment, the calculation gives 0.000 μB per formula unit. The formation energy from the elements comes out at -0.01 eV/atom.



Below is a relaxed KTlPb2 crystal, with properties calculated at the PBE level.

Unit cell a=6.8786 b=11.5480 c=3.3393 alpha=90.00 beta=90.00 gamma=90.00
Last column: nearest neighbours and their distance in Å.
Element x y z (fractional)
K: 0.0000 0.0000 0.0000  2 K 3.34, 2 Tl 3.44
K: 0.5000 0.5000 0.0000  2 K 3.34, 2 Tl 3.44
Tl: 0.0000 0.5000 0.0000  2 Tl 3.34, 2 K 3.44
Tl: 0.5000 0.0000 0.0000  2 Tl 3.34, 2 K 3.44
Pb: 0.2500 0.2500 0.5000  4 Pb 3.34-3.44
Pb: 0.2500 0.7500 0.5000  4 Pb 3.34-3.44
Pb: 0.7500 0.2500 0.5000  4 Pb 3.34-3.44
Pb: 0.7500 0.7500 0.5000  4 Pb 3.34-3.44

For the total magnetic moment, the calculation gives 0.000 μB per formula unit. The relative energy among the computed polymorphs comes out at 1.62 kcal/mol of atoms. The formation energy from the elements comes out at -0.03 eV/atom.